1.
# Ga2SnH

Crystalline Ga2SnH at its relaxed geometry (GGA-PBE, Alexandria).

Lattice parameters (Å, degrees): 4.882 4.882 12.792 90.00 90.00 90.00
Space group I-42d (No. 122)
Inequivalent atoms, fractional coordinates:
Ga1 0.106 0.250 0.125
Sn1 0.000 0.000 0.500
H1 0.000 0.000 0.000

Its density of states at the Fermi level is 0.382 states/eV/atom. The total energy comes out at -0.1144 Ha/atom. The value obtained for the volume is 76.2 Å³/f.u.

2.
# Zn3GaTc

Crystalline Zn3GaTc at its relaxed geometry (GGA-PBE, Alexandria).

Lattice parameters (Å, degrees): 13.564 5.276 4.415 90.00 90.00 90.00
Space group Pnma (No. 62)
Inequivalent atoms, fractional coordinates:
Zn1 0.142 0.250 0.174
Zn2 0.191 0.502 0.667
Ga1 0.050 0.750 0.008
Tc1 0.000 0.000 0.500

Its density of states at the Fermi level is 0.325 states/eV/atom. The total energy comes out at -0.1242 Ha/atom. The value obtained for the volume is 79.0 Å³/f.u. The value obtained for the energy of formation is 62.7 meV per atom.

3.
# Sm2Dy6YMg

Crystalline Sm2Dy6YMg at its relaxed geometry (GGA-PBE, Alexandria).

Lattice parameters (Å, degrees): 9.877 19.621 6.633 90.00 99.45 90.00
Space group C2/c (No. 15)
Inequivalent atoms, fractional coordinates:
Sm1 0.232 0.083 0.497
Dy1 0.058 0.352 0.030
Dy2 0.119 0.087 0.982
Dy3 0.177 0.239 0.722
Y1 0.000 0.492 0.750
Mg1 0.000 0.205 0.250

Its density of states at the Fermi level is 1.524 states/eV/atom. The total energy comes out at -0.1617 Ha/atom. The value obtained for the volume is 317.0 Å³/f.u. The value obtained for the energy of formation is 109.8 meV per atom.

4.
# Zn6InAu5

Crystalline Zn6InAu5 at its relaxed geometry (GGA-PBE, Alexandria).

Lattice parameters (Å, degrees): 4.711 6.138 7.315 90.00 107.54 90.00
Space group P2/m (No. 10)
Inequivalent atoms, fractional coordinates:
Zn1 0.000 0.231 0.000
Zn2 0.266 0.244 0.648
In1 0.500 0.500 0.000
Au1 0.215 0.500 0.319
Au2 0.224 0.000 0.327
Au3 0.500 0.000 0.000

Its density of states at the Fermi level is 0.182 states/eV/atom. The total energy comes out at -0.0872 Ha/atom. The value obtained for the volume is 201.7 Å³/f.u. The value obtained for the energy of formation is -142.9 meV per atom.